Arrangement A

The following is a DFT calculation (PBE) of a relaxed ScTePdN2 crystal.

```
ScTePdN2
1.0
4.093 0.000 0.000
0.000 4.093 0.000
0.000 0.000 5.362
N Pd Te Sc
2 1 1 1
direct
0.500 0.000 0.000
0.000 0.500 0.000
0.000 0.000 0.000
0.000 0.000 0.500
0.500 0.500 0.500
```

Symmetry   P4/mmm (123)

Arrangement B

The following is a DFT calculation (PBE) of a relaxed ScTePdN2 crystal.

```
ScTePdN2
1.0
4.112 0.000 0.000
0.000 4.112 0.000
0.000 0.000 5.984
Te N Sc Pd
1 2 1 1
direct
0.000 0.000 0.500
0.000 0.500 0.000
0.500 0.000 0.000
0.000 0.000 0.000
0.500 0.500 0.500
```

Symmetry   P4/mmm (123)

Best to worst by energy: arrangement B, arrangement A.